[1]
This record from Alexandria describes a geometry-optimized AlGe2BiO8 structure. The functional is GGA-PBE.

```
AlGe2BiO8
1.0
5.480 0.000 0.000
-2.740 4.746 0.000
0.000 0.000 6.352
Al Ge Bi O
1 2 1 8
direct
0.000 0.000 0.000
0.333 0.667 0.256
0.667 0.333 0.744
0.000 0.000 0.500
0.150 0.307 0.189
0.158 0.850 0.189
0.307 0.158 0.811
0.333 0.667 0.536
0.667 0.333 0.464
0.693 0.842 0.189
0.842 0.150 0.811
0.850 0.693 0.811
```

Output
Raw formation energy, eV/atom: -1.408
Size of the total moment, μB per cell: 1.89
Energy, eV per atom: -6.12
Space group: P-3 (147)


[2]
This record from Alexandria describes a geometry-optimized LiAc2MgZn6 structure. The functional is GGA-PBE.

```
LiAc2MgZn6
1.0
4.863 -4.860 0.000
4.863 4.860 0.000
-4.844 0.000 4.871
Li Ac Mg Zn
1 2 1 6
direct
0.000 0.000 0.000
0.250 0.750 0.500
0.750 0.250 0.500
0.500 0.500 0.000
0.234 0.234 0.000
0.234 0.234 0.469
0.235 0.765 0.000
0.765 0.235 0.000
0.766 0.766 0.000
0.766 0.766 0.531
```

Output
ΔE_f, eV/atom: -0.033
Size of the total moment, μB per cell: 0.00
Energy, eV per atom: -1.97
Space group: C2/m (12)


[3]
This record from Alexandria describes a geometry-optimized CuC structure. The functional is GGA-PBE.

```
CuC
1.0
-1.427 1.427 4.991
1.427 -1.427 4.991
1.427 1.427 -4.991
Cu C
2 2
direct
0.375 0.625 0.750
0.625 0.375 0.250
0.125 0.875 0.250
0.875 0.125 0.750
```

Output
ΔE_f, eV/atom: 1.856
Size of the total moment, μB per cell: 0.00
Distance to the lowest polymorph of the same formula, eV per atom: 1.635
Energy, eV per atom: -4.80
Space group: I4_1/amd (141)


no.,volume (Å³ per atom)
1,13.77
2,23.02
3,10.16